[1]
## RbTmN (PBE)

Data for a geometry-optimized RbTmN structure.

Summary:
ΔE_f (raw) in eV/atom: -0.6216
Total moment in μB per formula unit: 0.0

a b c (Å): 3.6772 7.1841 6.7953
angles (deg): 92.31 90.00 90.00
With the nearest neighbours (Å) after each atom.
Fractional positions:
Tm 0.2500 0.0723 0.1801  3 N 2.19-2.22
Tm 0.7500 0.9277 0.8199  3 N 2.19-2.22
Rb 0.2500 0.4054 0.7710  3 N 3.12-3.31
Rb 0.7500 0.5946 0.2290  3 N 3.12-3.31
N 0.2500 0.8339 0.9686  3 Tm 2.19-2.22
N 0.7500 0.1661 0.0314  3 Tm 2.19-2.22

***

[2]
## Zr3Ti (PBE)

Data for a geometry-optimized Zr3Ti structure.

Summary:
Total moment in μB per formula unit: 0.0
ΔH_f (0 K) in eV/atom: 0.08
ΔE to the lowest computed polymorph in kJ/mol of formula units: 14

a b c (Å): 4.4147 4.4147 5.4501
angles (deg): 113.89 113.89 90.00
With the nearest neighbours (Å) after each atom.
Fractional positions:
Zr 0.7500 0.2500 0.5000  8 Zr 3.12-3.14, 4 Ti 3.14
Zr 0.2500 0.7500 0.5000  8 Zr 3.12-3.14, 4 Ti 3.14
Zr 0.5000 0.5000 0.0000  4 Ti 3.12, 8 Zr 3.14
Ti 0.0000 0.0000 0.0000  12 Zr 3.12-3.14

***

[3]
## Pm2NdDy3P6 (PBE)

Data for a geometry-optimized Pm2NdDy3P6 structure.

Summary:
Total moment in μB per formula unit: 0.0
ΔH_f (0 K) in eV/atom: -1.58

a b c (Å): 7.0598 7.0598 7.0579
angles (deg): 99.59 99.59 119.99
With the nearest neighbours (Å) after each atom.
Fractional positions:
Pm 0.3333 0.6667 0.0000  6 P 2.91
Pm 0.6667 0.3333 0.0000  6 P 2.91
Nd 0.0000 0.0000 0.0000  6 P 2.92
Dy 0.1665 0.8335 0.5000  6 P 2.85
Dy 0.8335 0.1665 0.5000  6 P 2.85
Dy 0.5000 0.5000 0.5000  6 P 2.84-2.85
P 0.9139 0.5795 0.7418  3 Dy 2.85, 2 Pm 2.91, 1 Nd 2.92
P 0.7516 0.7516 0.2582  3 Dy 2.84-2.85, 2 Pm 2.91, 1 Nd 2.92
P 0.0861 0.4205 0.2582  3 Dy 2.85, 2 Pm 2.91, 1 Nd 2.92
P 0.5795 0.9139 0.7418  3 Dy 2.85, 2 Pm 2.91, 1 Nd 2.92
P 0.2484 0.2484 0.7418  3 Dy 2.84-2.85, 2 Pm 2.91, 1 Nd 2.92
P 0.4205 0.0861 0.2582  3 Dy 2.85, 2 Pm 2.91, 1 Nd 2.92

***

[4]
## Pr6Si2AgBr3 (PBE)

Data for a geometry-optimized Pr6Si2AgBr3 structure.

Summary:
ΔE_f (raw) in eV/atom: -0.9225
Total moment in μB per formula unit: 0.0

a b c (Å): 4.3035 8.9204 9.8024
angles (deg): 103.77 102.68 90.00
With the nearest neighbours (Å) after each atom.
Fractional positions:
Pr 0.3346 0.8885 0.6691  2 Si 2.93, 1 Ag 3.08, 1 Br 3.12
Pr 0.6744 0.5651 0.3487  3 Si 2.95, 3 Br 3.24
Pr 0.6654 0.1115 0.3309  2 Si 2.93, 1 Ag 3.08, 1 Br 3.12
Pr 0.0098 0.2465 0.0196  1 Si 2.91, 2 Ag 3.05, 2 Br 3.16
Pr 0.9902 0.7535 0.9804  1 Si 2.91, 2 Ag 3.05, 2 Br 3.16
Pr 0.3256 0.4349 0.6513  3 Si 2.95, 3 Br 3.24
Si 0.8332 0.6646 0.6664  6 Pr 2.91-2.95
Si 0.1668 0.3354 0.3336  6 Pr 2.91-2.95
Ag 0.5000 0.0000 0.0000  6 Pr 3.05-3.08
Br 0.5000 0.5000 0.0000  6 Pr 3.16-3.24
Br 0.8328 0.1673 0.6655  6 Pr 3.12-3.30
Br 0.1672 0.8327 0.3345  6 Pr 3.12-3.30

***

[5]
## SrLa2HoS4 (PBE)

Data for a geometry-optimized SrLa2HoS4 structure.

Summary:
ΔE_f (raw) in eV/atom: -2.0673
Total moment in μB per formula unit: 0.0

a b c (Å): 4.0805 7.1133 7.1532
angles (deg): 109.00 90.00 90.00
With the nearest neighbours (Å) after each atom.
Fractional positions:
Sr 0.5000 0.5000 0.0000  6 S 2.91-2.92
La 0.5000 0.0000 0.5000  6 S 2.90-2.91
La 0.0000 0.5000 0.5000  6 S 3.00
Ho 0.0000 0.0000 0.0000  6 S 2.81-2.82
S 0.5000 0.2341 0.2342  2 Ho 2.82, 3 La 2.91-3.00, 1 Sr 2.91
S 0.5000 0.7659 0.7658  2 Ho 2.82, 3 La 2.91-3.00, 1 Sr 2.91
S 0.0000 0.2403 0.7572  1 Ho 2.81, 3 La 2.90-3.00, 2 Sr 2.92
S 0.0000 0.7597 0.2428  1 Ho 2.81, 3 La 2.90-3.00, 2 Sr 2.92

***

[6]
## LiIrOs (PBE)

Data for a geometry-optimized LiIrOs structure.

Summary:
Total moment in μB per formula unit: 0.0
ΔH_f (0 K) in eV/atom: -0.02
ΔE to the lowest computed polymorph in kJ/mol of formula units: 2

a b c (Å): 4.3010 7.1885 7.1885
angles (deg): 158.37 90.00 90.00
With the nearest neighbours (Å) after each atom.
Fractional positions:
Ir 0.0000 0.3507 0.6493  4 Os 2.64-2.80, 4 Ir 2.65-2.70, 4 Li 2.66
Ir 0.0000 0.6893 0.3107  6 Li 2.62-2.66, 4 Ir 2.65-2.70, 2 Os 2.69
Os 0.5000 0.4593 0.5407  2 Ir 2.64, 4 Li 2.68-2.79, 6 Os 2.70
Os 0.0000 0.0248 0.9752  2 Li 2.63, 4 Ir 2.69-2.80, 6 Os 2.70
Li 0.5000 0.1326 0.8674  4 Os 2.63-2.79, 4 Ir 2.66, 4 Li 2.67-2.70
Li 0.5000 0.7954 0.2046  6 Ir 2.62-2.66, 4 Li 2.67-2.70, 2 Os 2.68

***

Please write out number 1 again, unchanged.
## RbTmN (PBE)

Data for a geometry-optimized RbTmN structure.

Summary:
ΔE_f (raw) in eV/atom: -0.6216
Total moment in μB per formula unit: 0.0

a b c (Å): 3.6772 7.1841 6.7953
angles (deg): 92.31 90.00 90.00
With the nearest neighbours (Å) after each atom.
Fractional positions:
Tm 0.2500 0.0723 0.1801  3 N 2.19-2.22
Tm 0.7500 0.9277 0.8199  3 N 2.19-2.22
Rb 0.2500 0.4054 0.7710  3 N 3.12-3.31
Rb 0.7500 0.5946 0.2290  3 N 3.12-3.31
N 0.2500 0.8339 0.9686  3 Tm 2.19-2.22
N 0.7500 0.1661 0.0314  3 Tm 2.19-2.22